Record 1
First-principles (PBEsol) data for an optimized crystal structure of CdHg2Rh, as listed in Alexandria via LeMat-Bulk.

Values from the calculation:
DOS at the Fermi energy in states/eV/f.u.: 1.7
Crystal system: orthorhombic
E in eV/atom: -2.605

a = 2.977 Å, b = 4.525 Å, c = 6.601 Å
α = 110.04°, β = 103.03°, γ = 90.00°
Element x y z (fractional)
Cd  0.190  0.190  0.380
Rh  0.500  0.000  0.000
Hg  0.806  0.806  0.612
Hg  0.004  0.504  0.008

***

Record 2
First-principles (PBEsol) data for an optimized crystal structure of CdHg2Rh2, as listed in Alexandria via LeMat-Bulk.

Values from the calculation:
DOS at the Fermi energy in states/eV/f.u.: 4.7
Crystal system: tetragonal
E in eV/atom: -3.323

a = 3.960 Å, b = 3.960 Å, c = 6.779 Å
α = 106.98°, β = 106.98°, γ = 90.00°
Element x y z (fractional)
Hg  0.750  0.250  0.500
Rh  0.598  0.598  0.197
Cd  0.000  0.000  0.000
Rh  0.402  0.402  0.803
Hg  0.250  0.750  0.500

***

Number 1: spin magnetization 0.00 μB per formula unit, volume 81.1 Å³/f.u., ΔE_f 12.1 meV/atom. Number 2: spin magnetization 0.00 μB per formula unit, volume 96.8 Å³/f.u., ΔE_f 398.4 meV/atom.